Entry 1:
TiGeAu2Se | PBEsol | relaxed

* symmetry: No. 123
* energy relative to the elements, uncorrected: 836 meV/atom
* calculated total energy: -4.156 eV/atom

Cell lengths 4.8458, 4.8458, 4.9845 Å; angles 90.00, 90.00, 90.00 degrees
Last column: nearest neighbours and their distance in Å.
Atoms (fractional coordinates):
Au: 0.0000 0.5000 0.0000  2 Ti 2.42
Au: 0.5000 0.0000 0.0000  2 Ti 2.42
Ge: 0.0000 0.0000 0.5000  2 Ti 2.49
Ti: 0.0000 0.0000 0.0000  4 Au 2.42, 2 Ge 2.49
Se: 0.5000 0.5000 0.5000  4 Ge 3.43, 8 Au 3.48

Entry 2:
ZrGeAuSe2 | PBEsol | relaxed

* symmetry: No. 123
* energy relative to the elements, uncorrected: 81 meV/atom
* calculated total energy: -5.049 eV/atom

Cell lengths 5.0738, 5.0738, 5.1835 Å; angles 90.00, 90.00, 90.00 degrees
Last column: nearest neighbours and their distance in Å.
Atoms (fractional coordinates):
Zr: 0.0000 0.0000 0.0000  4 Se 2.54, 2 Au 2.59
Ge: 0.5000 0.5000 0.5000  4 Au 3.59, 8 Se 3.63
Au: 0.0000 0.0000 0.5000  2 Zr 2.59
Se: 0.0000 0.5000 0.0000  2 Zr 2.54
Se: 0.5000 0.0000 0.0000  2 Zr 2.54

Entry 3:
Si2Ge2Au | PBEsol | relaxed

* symmetry: No. 139
* energy relative to the elements, uncorrected: 258 meV/atom
* calculated total energy: -4.801 eV/atom

Cell lengths 3.4186, 3.4186, 7.8604 Å; angles 102.56, 102.56, 90.00 degrees
Last column: nearest neighbours and their distance in Å.
Atoms (fractional coordinates):
Ge: 0.3980 0.3980 0.7960  4 Si 2.80, 4 Au 2.86, 1 Ge 3.05
Ge: 0.6020 0.6020 0.2040  4 Si 2.80, 4 Au 2.86, 1 Ge 3.05
Au: 0.0000 0.0000 0.0000  8 Ge 2.86
Si: 0.2500 0.7500 0.5000  4 Si 2.42
Si: 0.7500 0.2500 0.5000  4 Si 2.42

Entry 4:
SnGe3Au | PBEsol | relaxed

* symmetry: No. 221
* formation energy: 1.1147 eV per atom
* calculated total energy: -3.485 eV/atom

Cell lengths 5.1405, 5.1405, 5.1405 Å; angles 90.00, 90.00, 90.00 degrees
Last column: nearest neighbours and their distance in Å.
Atoms (fractional coordinates):
Sn: 0.0000 0.0000 0.0000  6 Ge 2.57
Ge: 0.0000 0.5000 0.0000  2 Sn 2.57
Ge: 0.0000 0.0000 0.5000  2 Sn 2.57
Ge: 0.5000 0.0000 0.0000  2 Sn 2.57
Au: 0.5000 0.5000 0.5000  12 Ge 3.63

Entry 5:
SnGe2TeAu | PBEsol | relaxed

* symmetry: No. 123
* energy relative to the elements, uncorrected: 466 meV/atom
* calculated total energy: -3.852 eV/atom

Cell lengths 4.8892, 4.8892, 5.6564 Å; angles 90.00, 90.00, 90.00 degrees
Last column: nearest neighbours and their distance in Å.
Atoms (fractional coordinates):
Au: 0.0000 0.0000 0.0000  4 Ge 2.44
Sn: 0.5000 0.5000 0.5000  4 Te 3.46, 8 Ge 3.74
Ge: 0.0000 0.5000 0.0000  2 Au 2.44
Ge: 0.5000 0.0000 0.0000  2 Au 2.44
Te: 0.0000 0.0000 0.5000  2 Au 2.83

Entry 6:
SrGeAu3 | PBEsol | relaxed

* symmetry: No. 129
* formation energy: -0.5146 eV per atom
* calculated total energy: -4.225 eV/atom

Cell lengths 5.5148, 6.2420, 6.2420 Å; angles 90.00, 90.00, 90.00 degrees
Last column: nearest neighbours and their distance in Å.
Atoms (fractional coordinates):
Au: 0.5000 0.7500 0.7500  2 Ge 2.56, 2 Au 2.83
Au: 0.5000 0.2500 0.7500  2 Ge 2.56, 2 Au 2.83
Au: 0.5000 0.7500 0.2500  2 Ge 2.56, 2 Au 2.83
Au: 0.8198 0.0000 0.5000  1 Ge 2.45
Au: 0.5000 0.2500 0.2500  2 Ge 2.56, 2 Au 2.83
Au: 0.1802 0.5000 0.0000  1 Ge 2.45
Ge: 0.2645 0.0000 0.5000  5 Au 2.45-2.56
Ge: 0.7355 0.5000 0.0000  5 Au 2.45-2.56
Sr: 0.0000 0.5000 0.5000  12 Au 3.28-3.53, 4 Ge 3.44
Sr: 0.0000 0.0000 0.0000  12 Au 3.28-3.53, 4 Ge 3.44

Entry 7:
TcGeAu3 | PBEsol | relaxed

* symmetry: No. 221
* formation energy: 1.1247 eV per atom
* calculated total energy: -4.471 eV/atom

Cell lengths 4.7260, 4.7260, 4.7260 Å; angles 90.00, 90.00, 90.00 degrees
Last column: nearest neighbours and their distance in Å.
Atoms (fractional coordinates):
Tc: 0.5000 0.5000 0.5000  12 Au 3.34
Au: 0.0000 0.5000 0.0000  2 Ge 2.36
Au: 0.0000 0.0000 0.5000  2 Ge 2.36
Au: 0.5000 0.0000 0.0000  2 Ge 2.36
Ge: 0.0000 0.0000 0.0000  6 Au 2.36

Entry 8:
Ti2Ge2Au | PBEsol | relaxed

* symmetry: No. 127
* formation energy: -0.4953 eV per atom
* calculated total energy: -6.585 eV/atom

Cell lengths 3.6161, 6.6206, 6.6206 Å; angles 90.00, 90.00, 90.00 degrees
Last column: nearest neighbours and their distance in Å.
Atoms (fractional coordinates):
Ge: 0.0000 0.1295 0.3705  1 Ge 2.42, 2 Ti 2.58, 2 Au 2.60
Ge: 0.0000 0.3705 0.8705  1 Ge 2.42, 2 Ti 2.58, 2 Au 2.60
Ge: 0.0000 0.6295 0.1295  1 Ge 2.42, 2 Ti 2.58, 2 Au 2.60
Ge: 0.0000 0.8705 0.6295  1 Ge 2.42, 2 Ti 2.58, 2 Au 2.60
Au: 0.0000 0.5000 0.5000  4 Ge 2.60
Au: 0.0000 0.0000 0.0000  4 Ge 2.60
Ti: 0.5000 0.1735 0.6735  6 Ge 2.58-2.72
Ti: 0.5000 0.3265 0.1735  6 Ge 2.58-2.72
Ti: 0.5000 0.6735 0.8265  6 Ge 2.58-2.72
Ti: 0.5000 0.8265 0.3265  6 Ge 2.58-2.72

The lowest calculated total energy belongs to which entry?
Ti2Ge2Au

Among the records above, which one has the lowest calculated total energy?
Ti2Ge2Au